An optimized crystal structure of CoTeRh. Source: Alexandria, functional PBE.

Cell lengths 4.1867, 4.1867, 4.1867 Å; angles 60.00, 60.00, 60.00 degrees
Last column: nearest neighbours and their distance in Å.
Fractional positions:
Co1 0.0000 0.0000 0.0000  4 Te 2.56
Rh1 0.5000 0.5000 0.5000  4 Te 2.56
Te1 0.7500 0.7500 0.7500  4 Co 2.56, 4 Rh 2.56

Summary:
DOS at the Fermi energy in states/eV/f.u.: 2.29
Energy in eV/cell: -17.4
Formation energy without anion corrections in eV per formula unit: 0.16
Magnetic moment in μB per formula unit: 0.26
Relative energy among the computed polymorphs in meV/atom: 0.0